The following is a PBE calculation of crystalline LiHfSb2Br at its relaxed geometry, from the Alexandria database.

Structure (extended XYZ):
```
5
Lattice="5.112 0.000 0.000 0.000 4.621 0.000 0.000 0.000 5.112" Properties=species:S:1:pos:R:3 pbc="T T T"
Sb 0.000 0.000 2.556
Sb 2.556 0.000 0.000
Hf 2.556 2.310 2.556
Br 0.000 2.310 0.000
Li 0.000 0.000 0.000
```

Symmetry: P4/mmm, No. 123
M_tot: 0.0 Bohr magnetons per cell
Energy relative to the elements, uncorrected: 6.917 kcal/mol of atoms

The following is a PBE calculation of crystalline LiHfSeBr2 at its relaxed geometry, from the Alexandria database.

Structure (extended XYZ):
```
5
Lattice="4.604 0.000 0.000 0.000 4.604 0.000 0.000 0.000 5.169" Properties=species:S:1:pos:R:3 pbc="T T T"
Hf 2.302 2.302 2.584
Se 0.000 0.000 2.584
Br 0.000 2.302 0.000
Br 2.302 0.000 0.000
Li 0.000 0.000 0.000
```

Excess energy over the best structure of this formula in the dataset: 656 meV/atom
Symmetry: P4/mmm, No. 123
M_tot: 0.8 Bohr magnetons per cell
Energy relative to the elements, uncorrected: -5.035 kcal/mol of atoms

The following is a PBE calculation of crystalline LiHfSeBr2 at its relaxed geometry, from the Alexandria database.

Structure (extended XYZ):
```
5
Lattice="-5.210 0.997 -0.298 0.077 -1.150 -5.187 -1.013 -4.972 1.088" Properties=species:S:1:pos:R:3 pbc="T T T"
Hf 0.000 0.000 0.000
Se -0.507 -2.486 0.544
Br 0.038 -0.575 -2.593
Br -2.605 0.498 -0.149
Li -3.073 -2.563 -2.199
```

Excess energy over the best structure of this formula in the dataset: 0 meV/atom
Symmetry: P4/mmm, No. 123
M_tot: 0.0 Bohr magnetons per cell
Energy relative to the elements, uncorrected: -20.161 kcal/mol of atoms

The following is a PBE calculation of crystalline LiHfTlBr6 at its relaxed geometry, from the Alexandria database.

Structure (extended XYZ):
```
18
Lattice="7.048 0.000 0.000 -3.524 6.104 0.000 0.000 0.000 14.459" Properties=species:S:1:pos:R:3 pbc="T T T"
Li 0.000 4.069 3.615
Li 3.524 2.035 10.845
Hf 3.524 2.035 3.615
Hf 0.000 4.069 10.845
Tl 0.000 0.000 0.000
Tl 0.000 0.000 7.230
Br 2.290 3.788 2.093
Br 5.659 2.226 2.093
Br -0.902 6.014 9.322
Br -2.135 3.877 12.367
Br 1.389 2.226 5.137
Br 4.758 3.788 5.137
Br 0.902 6.014 12.367
Br 4.426 0.089 5.137
Br -1.234 2.316 9.322
Br 2.623 0.089 2.093
Br 2.135 3.877 9.322
Br 1.234 2.316 12.367
```

Symmetry: P-31c, No. 163
M_tot: 0.0 Bohr magnetons per cell
Energy relative to the elements, uncorrected: -30.580 kcal/mol of atoms

The following is a PBE calculation of crystalline LiY2HfBr at its relaxed geometry, from the Alexandria database.

Structure (extended XYZ):
```
5
Lattice="5.363 0.000 0.000 0.000 4.837 0.000 0.000 0.000 5.363" Properties=species:S:1:pos:R:3 pbc="T T T"
Y 0.000 0.000 2.682
Y 2.682 0.000 0.000
Hf 0.000 2.418 0.000
Br 2.682 2.418 2.682
Li 0.000 0.000 0.000
```

Symmetry: P4/mmm, No. 123
M_tot: 1.3 Bohr magnetons per cell
Energy relative to the elements, uncorrected: 12.183 kcal/mol of atoms

The following is a PBE calculation of crystalline Lu2HfBr at its relaxed geometry, from the Alexandria database.

Structure (extended XYZ):
```
4
Lattice="3.489 0.000 0.000 1.744 3.021 0.000 1.744 1.007 9.647" Properties=species:S:1:pos:R:3 pbc="T T T"
Lu 5.233 3.021 7.316
Lu 1.744 1.007 2.331
Hf 3.489 2.014 4.824
Br 0.000 0.000 0.000
```

Symmetry: R-3m, No. 166
M_tot: 0.0 Bohr magnetons per cell
Energy relative to the elements, uncorrected: -9.756 kcal/mol of atoms